(1)
Computed, not measured: an optimized crystal structure of LiNbAl2O6 at the PBE-GGA level of DFT.

The structure in POSCAR format:
```
LiNbAl2O6
1.0
4.468 -5.871 0.000
4.468 5.871 0.000
-2.647 0.000 4.978
Li Nb Al O
2 2 4 12
Cartesian
2.483 5.288 3.733 Li
3.806 -5.288 1.244 Li
3.806 3.574 1.244 Nb
2.483 -3.574 3.733 Nb
1.118 0.828 4.059 Al
2.442 -0.828 1.570 Al
3.848 0.828 3.407 Al
5.171 -0.828 0.919 Al
-0.635 1.020 3.294 O
0.960 2.531 4.705 O
0.688 -1.020 0.805 O
2.036 0.617 2.547 O
4.006 2.531 2.761 O
3.360 -0.617 0.058 O
2.929 0.617 4.920 O
2.284 -2.531 2.216 O
4.253 -0.617 2.431 O
5.601 1.020 4.172 O
5.329 -2.531 0.272 O
6.925 -1.020 1.684 O
```

Results
- crystal system = monoclinic
- E_form (uncorrected) (meV/atom) = -2653

=====

(2)
Computed, not measured: an optimized crystal structure of LiNbAl2Pd at the PBE-GGA level of DFT.

The structure in POSCAR format:
```
LiNbAl2Pd
1.0
5.095 0.000 0.000
0.000 5.095 0.000
0.000 0.000 4.813
Li Nb Al Pd
1 1 2 1
Cartesian
0.000 0.000 0.000 Li
2.547 2.547 2.406 Nb
0.000 2.547 2.406 Al
2.547 0.000 2.406 Al
2.547 2.547 0.000 Pd
```

Results
- crystal system = tetragonal
- DFT formation energy (eV/atom) = 0.6417

=====

(3)
Computed, not measured: an optimized crystal structure of LiNbAlRe at the PBE-GGA level of DFT.

The structure in POSCAR format:
```
LiNbAlRe
1.0
6.244 0.000 0.000
0.000 6.244 0.000
0.000 0.000 6.244
Li Nb Al Re
4 4 4 4
Cartesian
0.000 0.000 0.000 Li
0.000 3.122 3.122 Li
3.122 0.000 3.122 Li
3.122 3.122 0.000 Li
1.561 1.561 4.683 Nb
1.561 4.683 1.561 Nb
4.683 1.561 1.561 Nb
4.683 4.683 4.683 Nb
1.561 1.561 1.561 Al
1.561 4.683 4.683 Al
4.683 1.561 4.683 Al
4.683 4.683 1.561 Al
0.000 0.000 3.122 Re
0.000 3.122 0.000 Re
3.122 0.000 0.000 Re
3.122 3.122 3.122 Re
```

Results
- crystal system = cubic
- DFT formation energy (eV/atom) = -0.1260

=====

(4)
Computed, not measured: an optimized crystal structure of LiNbAlRh2 at the PBE-GGA level of DFT.

The structure in POSCAR format:
```
LiNbAlRh2
1.0
4.149 0.000 0.000
0.000 4.149 0.000
0.000 0.000 4.361
Li Nb Al Rh
1 1 1 2
Cartesian
0.000 0.000 0.000 Li
0.000 0.000 2.181 Nb
2.075 2.075 2.181 Al
0.000 2.075 0.000 Rh
2.075 0.000 0.000 Rh
```

Results
- crystal system = tetragonal
- DFT formation energy (eV/atom) = 0.4936

=====

(5)
Computed, not measured: an optimized crystal structure of Li2NbAlSn at the PBE-GGA level of DFT.

The structure in POSCAR format:
```
Li2NbAlSn
1.0
5.093 0.000 0.000
0.000 5.093 0.000
0.000 0.000 5.375
Li Nb Al Sn
2 1 1 1
Cartesian
0.000 2.546 0.000 Li
2.546 0.000 0.000 Li
0.000 0.000 0.000 Nb
2.546 2.546 2.688 Al
0.000 0.000 2.688 Sn
```

Results
- crystal system = tetragonal
- DFT formation energy (eV/atom) = 1.0417

=====

(6)
Computed, not measured: an optimized crystal structure of LiNb2AlV at the PBE-GGA level of DFT.

The structure in POSCAR format:
```
LiNb2AlV
1.0
4.803 0.000 0.000
0.000 4.803 0.000
0.000 0.000 4.529
Li Nb Al V
1 2 1 1
Cartesian
0.000 0.000 0.000 Li
0.000 2.401 2.264 Nb
2.401 0.000 2.264 Nb
2.401 2.401 2.264 Al
2.401 2.401 0.000 V
```

Results
- crystal system = tetragonal
- DFT formation energy (eV/atom) = 1.2853

=====

(7)
Computed, not measured: an optimized crystal structure of Li2Nd4Al at the PBE-GGA level of DFT.

The structure in POSCAR format:
```
Li2Nd4Al
1.0
2.606 1.505 8.438
-2.606 1.505 8.438
0.000 -3.009 8.438
Li Nd Al
2 4 1
Cartesian
0.000 0.000 6.005 Li
0.000 0.000 19.310 Li
0.000 0.000 2.920 Nd
0.000 0.000 9.374 Nd
0.000 0.000 15.941 Nd
0.000 0.000 22.395 Nd
0.000 0.000 12.658 Al
```

Results
- crystal system = trigonal
- DFT formation energy (eV/atom) = 0.0701

=====

(8)
Computed, not measured: an optimized crystal structure of Li2Nd3Al at the PBE-GGA level of DFT.

The structure in POSCAR format:
```
Li2Nd3Al
1.0
5.337 0.000 0.000
-2.669 4.622 0.000
0.000 0.000 13.100
Li Nd Al
4 6 2
Cartesian
0.000 0.000 0.000 Li
0.000 0.000 6.550 Li
0.000 3.081 2.247 Li
2.669 1.541 10.853 Li
0.000 0.000 3.337 Nd
0.000 0.000 9.763 Nd
0.000 3.081 5.485 Nd
0.000 3.081 11.959 Nd
2.669 1.541 1.142 Nd
2.669 1.541 7.615 Nd
0.000 3.081 8.734 Al
2.669 1.541 4.367 Al
```

Results
- crystal system = trigonal
- DFT formation energy (eV/atom) = -0.0796

=====

(9)
Computed, not measured: an optimized crystal structure of Li3Nd3Al8 at the PBE-GGA level of DFT.

The structure in POSCAR format:
```
Li3Nd3Al8
1.0
-2.230 4.934 6.638
2.230 -4.934 6.638
2.230 4.934 -6.638
Li Nd Al
3 3 8
Cartesian
0.000 0.000 0.000 Li
2.230 1.930 0.000 Li
0.000 3.004 6.638 Li
2.230 0.000 2.672 Nd
0.000 4.934 0.000 Nd
0.000 4.934 3.967 Nd
2.230 -2.761 4.764 Al
2.230 3.599 -2.082 Al
0.000 2.173 1.874 Al
0.000 1.335 4.557 Al
2.230 3.599 2.082 Al
2.230 2.761 4.764 Al
0.000 1.335 8.720 Al
0.000 7.695 1.874 Al
```

Results
- crystal system = orthorhombic
- DFT formation energy (eV/atom) = -0.3447

=====

(10)
Computed, not measured: an optimized crystal structure of LiNd3Al2 at the PBE-GGA level of DFT.

The structure in POSCAR format:
```
LiNd3Al2
1.0
3.710 0.000 0.000
0.000 3.710 0.000
0.000 0.000 11.616
Li Nd Al
1 3 2
Cartesian
0.000 0.000 0.000 Li
1.855 1.855 2.105 Nd
1.855 1.855 5.808 Nd
1.855 1.855 9.511 Nd
0.000 0.000 3.880 Al
0.000 0.000 7.736 Al
```

Results
- crystal system = tetragonal
- DFT formation energy (eV/atom) = -0.2289
- offset from the most stable computed form (meV per atom) = 18

=====

(11)
Computed, not measured: an optimized crystal structure of LiNdAl4 at the PBE-GGA level of DFT.

The structure in POSCAR format:
```
LiNdAl4
1.0
6.222 0.000 0.000
0.000 6.222 0.000
0.000 0.000 6.854
Li Nd Al
2 2 8
Cartesian
0.000 0.000 0.000 Li
3.111 3.111 0.000 Li
0.000 3.111 3.427 Nd
3.111 0.000 3.427 Nd
0.000 0.000 2.207 Al
0.000 0.000 4.646 Al
0.969 2.142 0.000 Al
2.142 5.253 0.000 Al
3.111 3.111 2.207 Al
3.111 3.111 4.646 Al
4.080 0.969 0.000 Al
5.253 4.080 0.000 Al
```

Results
- crystal system = tetragonal
- DFT formation energy (eV/atom) = 0.3147

=====

(12)
Computed, not measured: an optimized crystal structure of LiNd4Al at the PBE-GGA level of DFT.

The structure in POSCAR format:
```
LiNd4Al
1.0
5.009 0.000 0.000
0.000 5.009 0.000
0.000 0.000 8.030
Li Nd Al
1 4 1
Cartesian
0.000 0.000 0.000 Li
0.000 2.505 2.138 Nd
0.000 2.505 5.892 Nd
2.505 0.000 2.138 Nd
2.505 0.000 5.892 Nd
2.505 2.505 4.015 Al
```

Results
- crystal system = tetragonal
- DFT formation energy (eV/atom) = 0.2012
- offset from the most stable computed form (meV per atom) = 278

=====

(13)
Computed, not measured: an optimized crystal structure of Li4NdAl at the PBE-GGA level of DFT.

The structure in POSCAR format:
```
Li4NdAl
1.0
0.000 3.885 3.885
3.885 0.000 3.885
3.885 3.885 0.000
Li Nd Al
4 1 1
Cartesian
0.956 0.956 0.956 Li
2.930 2.930 0.956 Li
2.930 0.956 2.930 Li
0.956 2.930 2.930 Li
3.885 3.885 3.885 Nd
5.828 5.828 5.828 Al
```

Results
- crystal system = cubic
- DFT formation energy (eV/atom) = -0.0508

=====

(14)
Computed, not measured: an optimized crystal structure of LiNd6Al2 at the PBE-GGA level of DFT.

The structure in POSCAR format:
```
LiNd6Al2
1.0
8.068 -3.844 0.000
8.068 3.844 0.000
-1.574 0.000 4.810
Li Nd Al
1 6 2
Cartesian
0.000 0.000 0.000 Li
4.058 1.884 4.005 Nd
7.281 1.816 2.405 Nd
10.504 1.884 0.806 Nd
4.058 -1.884 4.005 Nd
7.281 -1.816 2.405 Nd
10.504 -1.884 0.806 Nd
4.839 0.000 1.598 Al
9.723 0.000 3.213 Al
```

Results
- crystal system = monoclinic
- DFT formation energy (eV/atom) = 0.1333

=====

(15)
Computed, not measured: an optimized crystal structure of LiNd4Al3 at the PBE-GGA level of DFT.

The structure in POSCAR format:
```
LiNd4Al3
1.0
5.241 0.000 0.000
0.000 5.241 0.000
0.000 0.000 15.297
Li Nd Al
2 8 6
Cartesian
0.000 0.000 0.000 Li
2.621 2.621 7.649 Li
0.000 2.621 1.951 Nd
0.000 2.621 5.698 Nd
0.000 2.621 9.600 Nd
0.000 2.621 13.346 Nd
2.621 0.000 1.951 Nd
2.621 0.000 5.698 Nd
2.621 0.000 9.600 Nd
2.621 0.000 13.346 Nd
0.000 0.000 3.788 Al
0.000 0.000 7.649 Al
0.000 0.000 11.509 Al
2.621 2.621 0.000 Al
2.621 2.621 3.860 Al
2.621 2.621 11.437 Al
```

Results
- crystal system = tetragonal
- DFT formation energy (eV/atom) = -0.2828

=====

(16)
Computed, not measured: an optimized crystal structure of LiNd12Al6 at the PBE-GGA level of DFT.

The structure in POSCAR format:
```
LiNd12Al6
1.0
7.498 4.329 2.781
-7.498 4.329 2.781
0.000 -8.658 2.781
Li Nd Al
1 12 6
Cartesian
0.000 0.000 0.000 Li
-0.634 -5.160 2.793 Nd
-4.151 3.129 2.793 Nd
-1.192 -1.841 2.856 Nd
-4.785 -2.031 5.549 Nd
-0.998 1.953 2.856 Nd
2.191 -0.112 2.856 Nd
-2.191 0.112 5.486 Nd
0.998 -1.953 5.486 Nd
4.785 2.031 2.793 Nd
1.192 1.841 5.486 Nd
4.151 -3.129 5.549 Nd
0.634 5.160 5.549 Nd
-3.897 -0.217 2.795 Al
2.136 -3.266 2.795 Al
-1.761 -3.483 5.547 Al
1.761 3.483 2.795 Al
-2.136 3.266 5.547 Al
3.897 0.217 5.547 Al
```

Results
- crystal system = trigonal
- DFT formation energy (eV/atom) = -0.0808

=====

(17)
Computed, not measured: an optimized crystal structure of Li7NdAl5 at the PBE-GGA level of DFT.

The structure in POSCAR format:
```
Li7NdAl5
1.0
-2.725 4.634 4.677
2.725 -4.634 4.677
2.725 4.634 -4.677
Li Nd Al
7 1 5
Cartesian
0.000 0.000 0.000 Li
2.725 1.369 1.342 Li
0.000 0.000 2.801 Li
2.725 0.000 4.064 Li
0.000 2.670 1.383 Li
0.000 6.598 1.383 Li
0.000 3.265 6.019 Li
0.000 0.000 6.078 Nd
1.353 2.316 -0.962 Al
1.371 -2.319 3.716 Al
1.353 6.953 -0.962 Al
1.371 2.319 3.716 Al
0.000 4.634 3.293 Al
```

Results
- crystal system = orthorhombic
- DFT formation energy (eV/atom) = -0.1871

=====

(18)
Computed, not measured: an optimized crystal structure of LiNd3Al2 at the PBE-GGA level of DFT.

The structure in POSCAR format:
```
LiNd3Al2
1.0
5.295 0.000 0.000
-2.647 4.585 0.000
0.000 0.000 13.003
Li Nd Al
2 6 4
Cartesian
0.000 3.057 2.209 Li
2.647 1.528 10.794 Li
0.000 0.000 3.308 Nd
0.000 0.000 9.695 Nd
0.000 3.057 5.449 Nd
0.000 3.057 11.909 Nd
2.647 1.528 1.094 Nd
2.647 1.528 7.555 Nd
0.000 0.000 0.000 Al
0.000 0.000 6.502 Al
0.000 3.057 8.743 Al
2.647 1.528 4.260 Al
```

Results
- crystal system = trigonal
- DFT formation energy (eV/atom) = -0.2470
- offset from the most stable computed form (meV per atom) = 0

=====

(19)
Computed, not measured: an optimized crystal structure of Li2Nd3Al4 at the PBE-GGA level of DFT.

The structure in POSCAR format:
```
Li2Nd3Al4
1.0
5.509 -2.388 0.000
5.509 2.388 0.000
-4.073 0.000 7.976
Li Nd Al
2 3 4
Cartesian
-0.141 0.000 1.996 Li
7.088 0.000 5.980 Li
-0.699 0.000 5.213 Nd
5.509 0.000 0.000 Nd
7.645 0.000 2.763 Nd
2.353 0.000 0.582 Al
2.669 0.000 5.050 Al
4.277 0.000 2.926 Al
4.593 0.000 7.394 Al
```

Results
- crystal system = monoclinic
- DFT formation energy (eV/atom) = -0.3050

=====

(20)
Computed, not measured: an optimized crystal structure of LiNd4Al2 at the PBE-GGA level of DFT.

The structure in POSCAR format:
```
LiNd4Al2
1.0
2.635 1.521 8.428
-2.635 1.521 8.428
0.000 -3.043 8.428
Li Nd Al
1 4 2
Cartesian
0.000 0.000 0.000 Li
0.000 0.000 3.303 Nd
0.000 0.000 9.697 Nd
0.000 0.000 15.588 Nd
0.000 0.000 21.982 Nd
0.000 0.000 6.484 Al
0.000 0.000 18.801 Al
```

Results
- crystal system = trigonal
- DFT formation energy (eV/atom) = -0.1327

=====

no.,total magnetic moment (μB per cell)
1,0.00
2,0.00
3,0.00
4,0.00
5,3.07
6,0.01
7,0.00
8,0.00
9,0.00
10,0.00
11,0.00
12,0.00
13,0.00
14,0.00
15,0.00
16,0.00
17,0.00
18,0.00
19,0.00
20,0.00